(1)
# RbMg2AlPt PBE-GGA relaxed
data_RbMg2AlPt
_chemical_formula_sum 'Rb1 Mg2 Al1 Pt1'
_symmetry_space_group_name_H-M 'P 4/m m m'
_symmetry_Int_Tables_number 123
_symmetry_space_group_name_Hall '-P 4 2'
_cell_length_a 5.2293
_cell_length_b 5.2293
_cell_length_c 4.8734
_cell_angle_alpha 90.00
_cell_angle_beta 90.00
_cell_angle_gamma 90.00
loop_
_atom_site_label
_atom_site_type_symbol
_atom_site_fract_x
_atom_site_fract_y
_atom_site_fract_z
Rb1 Rb 0.0000 0.0000 0.0000
Mg1 Mg 0.0000 0.5000 0.5000
Al1 Al 0.5000 0.5000 0.0000
Pt1 Pt 0.5000 0.5000 0.5000
# Total moment ... 0.00 μB per formula unit
# D(E_F) ... 0.27 states/eV/atom
# Crystal system ... tetragonal
# Raw total energy ... -3.12 eV per atom

=====

(2)
# MgAlRe2Pt PBE-GGA relaxed
data_MgAlRe2Pt
_chemical_formula_sum 'Mg1 Al1 Re2 Pt1'
_symmetry_space_group_name_H-M 'P 4/m m m'
_symmetry_Int_Tables_number 123
_symmetry_space_group_name_Hall '-P 4 2'
_cell_length_a 4.5010
_cell_length_b 4.5010
_cell_length_c 4.4392
_cell_angle_alpha 90.00
_cell_angle_beta 90.00
_cell_angle_gamma 90.00
loop_
_atom_site_label
_atom_site_type_symbol
_atom_site_fract_x
_atom_site_fract_y
_atom_site_fract_z
Mg1 Mg 0.0000 0.0000 0.0000
Al1 Al 0.0000 0.0000 0.5000
Re1 Re 0.0000 0.5000 0.0000
Pt1 Pt 0.5000 0.5000 0.5000
# Total moment ... 2.04 μB per formula unit
# D(E_F) ... 1.13 states/eV/atom
# Crystal system ... tetragonal
# Raw total energy ... -5.21 eV per atom

=====

(3)
# MgAlPt2Rh PBE-GGA relaxed
data_MgAlPt2Rh
_chemical_formula_sum 'Mg1 Al1 Pt2 Rh1'
_symmetry_space_group_name_H-M 'P 4/m m m'
_symmetry_Int_Tables_number 123
_symmetry_space_group_name_Hall '-P 4 2'
_cell_length_a 4.5636
_cell_length_b 4.5636
_cell_length_c 4.4633
_cell_angle_alpha 90.00
_cell_angle_beta 90.00
_cell_angle_gamma 90.00
loop_
_atom_site_label
_atom_site_type_symbol
_atom_site_fract_x
_atom_site_fract_y
_atom_site_fract_z
Mg1 Mg 0.0000 0.0000 0.0000
Al1 Al 0.5000 0.5000 0.5000
Pt1 Pt 0.0000 0.5000 0.5000
Rh1 Rh 0.5000 0.5000 0.0000
# Total moment ... 0.00 μB per formula unit
# D(E_F) ... 0.06 states/eV/atom
# Crystal system ... tetragonal
# Raw total energy ... -5.01 eV per atom

=====

(4)
# MgAlPtRh PBE-GGA relaxed
data_MgAlPtRh
_chemical_formula_sum 'Mg4 Al4 Pt4 Rh4'
_symmetry_space_group_name_H-M 'F -4 3 m'
_symmetry_Int_Tables_number 216
_symmetry_space_group_name_Hall 'F -4 2 3'
_cell_length_a 6.1484
_cell_length_b 6.1484
_cell_length_c 6.1484
_cell_angle_alpha 90.00
_cell_angle_beta 90.00
_cell_angle_gamma 90.00
loop_
_atom_site_label
_atom_site_type_symbol
_atom_site_fract_x
_atom_site_fract_y
_atom_site_fract_z
Mg1 Mg 0.0000 0.0000 0.0000
Al1 Al 0.0000 0.0000 0.5000
Pt1 Pt 0.2500 0.2500 0.2500
Rh1 Rh 0.2500 0.2500 0.7500
# Total moment ... 0.00 μB per formula unit
# D(E_F) ... 0.37 states/eV/atom
# Crystal system ... cubic
# Raw total energy ... -5.61 eV per atom